La12Zn3N5 | GGA-PBE | optimized geometry

Calculated values
Formation energy (no corrections), eV per atom: -0.691
Calculated total energy, eV/cell: -473.60

Lattice parameters (Å, degrees): 14.152 14.152 14.152 109.47 109.47 109.47
Atoms (fractional coordinates):
La 0.014 0.199 0.111
La 0.014 0.315 0.903
La 0.088 0.699 0.685
La 0.088 0.889 0.403
La 0.097 0.611 0.412
La 0.097 0.986 0.685
La 0.111 0.014 0.199
La 0.111 0.597 0.912
La 0.185 0.199 0.588
La 0.185 0.486 0.597
La 0.199 0.111 0.014
La 0.199 0.588 0.185
La 0.301 0.315 0.912
La 0.301 0.486 0.389
La 0.315 0.903 0.014
La 0.315 0.912 0.301
La 0.389 0.301 0.486
La 0.389 0.588 0.903
La 0.403 0.088 0.889
La 0.403 0.815 0.514
La 0.412 0.097 0.611
La 0.412 0.815 0.801
La 0.486 0.389 0.301
La 0.486 0.597 0.185
La 0.514 0.403 0.815
La 0.514 0.611 0.699
La 0.588 0.185 0.199
La 0.588 0.903 0.389
La 0.597 0.185 0.486
La 0.597 0.912 0.111
La 0.611 0.412 0.097
La 0.611 0.699 0.514
La 0.685 0.088 0.699
La 0.685 0.097 0.986
La 0.699 0.514 0.611
La 0.699 0.685 0.088
La 0.801 0.412 0.815
La 0.801 0.889 0.986
La 0.815 0.514 0.403
La 0.815 0.801 0.412
La 0.889 0.403 0.088
La 0.889 0.986 0.801
La 0.903 0.014 0.315
La 0.903 0.389 0.588
La 0.912 0.111 0.597
La 0.912 0.301 0.315
La 0.986 0.685 0.097
La 0.986 0.801 0.889
Zn 0.125 0.250 0.375
Zn 0.125 0.375 0.750
Zn 0.250 0.375 0.125
Zn 0.250 0.875 0.625
Zn 0.375 0.125 0.250
Zn 0.375 0.750 0.125
Zn 0.625 0.250 0.875
Zn 0.625 0.875 0.750
Zn 0.750 0.125 0.375
Zn 0.750 0.625 0.875
Zn 0.875 0.625 0.250
Zn 0.875 0.750 0.625
N 0.000 0.000 0.000
N 0.000 0.000 0.500
N 0.000 0.500 0.000
N 0.000 0.500 0.500
N 0.125 0.750 0.875
N 0.125 0.875 0.250
N 0.250 0.125 0.875
N 0.250 0.625 0.375
N 0.375 0.250 0.625
N 0.375 0.625 0.750
N 0.500 0.000 0.000
N 0.500 0.000 0.500
N 0.500 0.500 0.000
N 0.500 0.500 0.500
N 0.625 0.375 0.250
N 0.625 0.750 0.375
N 0.750 0.375 0.625
N 0.750 0.875 0.125
N 0.875 0.125 0.750
N 0.875 0.250 0.125